Entry 1:
First-principles (PBE-GGA) data for an optimized crystal structure of UZnGe2, as listed in the Alexandria database.

```
UZnGe2
1.0
-1.0395 0.8656 4.2064
1.9723 -2.2278 3.2666
5.5029 4.5223 2.7500
Ge U Zn
2 1 1
Cartesian
3.7762 2.8673 2.6639 Ge
2.6594 0.2928 7.5591 Ge
3.2178 1.5800 5.1115 U
0.0000 0.0000 0.0000 Zn
```

Symmetry = R-3m (166)
Total moment = 0.095 μB/f.u.
DFT formation energy = 551 meV per atom
Raw total energy = -4.90 eV per atom
Crystal system = trigonal

---

Entry 2:
First-principles (PBE-GGA) data for an optimized crystal structure of UZnGe2, as listed in the Alexandria database.

```
UZnGe2
1.0
4.0032 0.0000 -0.8137
-0.1654 3.9998 -0.8137
-0.1321 -0.1376 9.6050
U Zn Ge
2 2 4
Cartesian
0.4107 0.4280 2.0206 U
3.2951 3.4341 5.9571 U
2.8950 0.9311 3.9888 Zn
0.8107 2.9310 3.9888 Zn
1.2442 1.2967 6.1213 Ge
2.4616 2.5655 1.8564 Ge
2.0016 0.0000 -0.4068 Ge
-0.0827 1.9999 -0.4068 Ge
```

Symmetry = I4/mmm (139)
Total moment = 1.786 μB/f.u.
DFT formation energy = -204 meV per atom
Raw total energy = -5.65 eV per atom
Crystal system = tetragonal

---

Entry 3:
First-principles (PBE-GGA) data for an optimized crystal structure of UZnGe, as listed in the Alexandria database.

```
UZnGe
1.0
4.0427 -0.0007 -1.8022
-2.6573 4.9292 -0.5277
0.0839 0.1021 5.6236
U Zn Ge
2 2 2
Cartesian
0.2904 0.9946 0.6508 U
1.1789 4.0360 2.6429 U
-1.6927 3.2314 1.6368 Zn
3.1620 1.7992 1.6569 Zn
-0.0879 3.9640 -0.1989 Ge
1.5572 1.0666 3.4926 Ge
```

Symmetry = Immm (71)
Total moment = 0.893 μB/f.u.
DFT formation energy = -188 meV per atom
Raw total energy = -5.91 eV per atom
Crystal system = orthorhombic

---

Entry 4:
First-principles (PBE-GGA) data for an optimized crystal structure of UZnGe, as listed in the Alexandria database.

```
UZnGe
1.0
-2.8863 0.1664 0.1011
-0.2416 -4.6653 0.7807
0.3008 2.9999 3.6528
Ge U Zn
1 1 1
Cartesian
-0.4812 0.0277 0.0168 Ge
-1.8042 0.5558 2.7628 U
-0.5417 -2.0825 1.7549 Zn
```

Symmetry = P-6m2 (187)
Total moment = 2.411 μB/f.u.
DFT formation energy = -77 meV per atom
Raw total energy = -5.80 eV per atom
Crystal system = hexagonal

---

Entry 5:
First-principles (PBE-GGA) data for an optimized crystal structure of U2ZnGe, as listed in the Alexandria database.

```
U2ZnGe
1.0
4.7958 0.0000 0.0000
0.0000 3.9498 0.0000
0.0000 0.0000 3.9498
Ge U Zn
1 2 1
Cartesian
2.3979 1.9749 1.9749 Ge
0.0000 0.0000 1.9749 U
0.0000 1.9749 0.0000 U
2.3979 0.0000 0.0000 Zn
```

Symmetry = P4/mmm (123)
Total moment = 3.168 μB/f.u.
DFT formation energy = -55 meV per atom
Raw total energy = -7.17 eV per atom
Crystal system = tetragonal

---

Entry 6:
First-principles (PBE-GGA) data for an optimized crystal structure of UZnGe, as listed in the Alexandria database.

```
UZnGe
1.0
5.5124 0.0000 0.0000
2.7562 4.1235 0.0000
2.7562 0.0000 5.6580
U Zn Ge
2 2 2
Cartesian
6.8905 2.0617 2.8290 U
4.1343 2.0617 2.8290 U
5.5124 1.3519 0.0000 Zn
2.7562 2.7716 0.0000 Zn
5.5124 0.0000 4.4049 Ge
2.7562 0.0000 1.2532 Ge
```

Symmetry = Fmmm (69)
Total moment = 2.746 μB/f.u.
DFT formation energy = 259 meV per atom
Raw total energy = -5.47 eV per atom
Crystal system = orthorhombic

---

Entry 7:
First-principles (PBE-GGA) data for an optimized crystal structure of ZrUGe2, as listed in the Alexandria database.

```
ZrUGe2
1.0
-0.6560 3.8757 -0.1008
-3.6648 1.3636 -0.4145
-2.1771 1.7954 6.5044
Ge U Zr
2 1 1
Cartesian
-1.6146 1.7581 1.4081 Ge
-4.8832 5.2768 4.5810 Ge
-3.2489 3.5174 2.9945 U
0.0000 0.0000 0.0000 Zr
```

Symmetry = R-3m (166)
Total moment = 2.006 μB/f.u.
DFT formation energy = -392 meV per atom
Raw total energy = -7.66 eV per atom
Crystal system = trigonal

---

Entry 8:
First-principles (PBE-GGA) data for an optimized crystal structure of V4Ge, as listed in the Alexandria database.

```
V4Ge
1.0
4.4789 0.0000 0.0000
0.0000 4.4789 0.0000
0.0000 0.0000 4.4789
Ge V
1 4
Cartesian
2.2394 2.2394 2.2394 Ge
0.0000 0.0000 0.0000 V
2.2394 0.0000 2.2394 V
0.0000 2.2394 2.2394 V
2.2394 2.2394 0.0000 V
```

Symmetry = Pm-3m (221)
Total moment = 0.104 μB/f.u.
DFT formation energy = 1070 meV per atom
Raw total energy = -7.15 eV per atom
Energy above the lowest structure with this stoichiometry = 26.045 kcal/mol of atoms
Crystal system = cubic